The following is a DFT calculation (PBE) of an optimized crystal structure of Sr4AlRe.

Calculated formation energy ... 1318 meV/atom
Theoretical density ... 4.57 g/cm³
Magnetization ... 8.0 Bohr magnetons per cell

Geometry as CIF:
```
data_Sr4AlRe
_chemical_formula_sum 'Sr16 Al4 Re4'
_symmetry_space_group_name_H-M 'F -4 3 m'
_symmetry_Int_Tables_number 216
_symmetry_space_group_name_Hall 'F -4 2 3'
_cell_length_a 9.354
_cell_length_b 9.354
_cell_length_c 9.354
_cell_angle_alpha 90.00
_cell_angle_beta 90.00
_cell_angle_gamma 90.00
loop_
_atom_site_label
_atom_site_type_symbol
_atom_site_fract_x
_atom_site_fract_y
_atom_site_fract_z
Sr1 Sr 0.124 0.124 0.376
Al1 Al 0.000 0.000 0.000
Re1 Re 0.250 0.250 0.750
```